Record 1
Compound: TbPrSe2Cl
Source: the Alexandria database
Functional: GGA-PBE
Structure: relaxed

abc: 4.1962 4.1962 14.1848
angles: 90.00 90.00 90.00
Closest atoms and distances in Å follow each position.
Element x y z (fractional)
Cl1 0.0000 0.0000 0.5000  4 Pr 2.96, 4 Cl 2.97
Pr1 0.5000 0.0000 0.6468  4 Cl 2.96, 4 Se 3.08
Tb1 0.5000 0.0000 0.0904  6 Se 2.89-2.99
Se1 0.5000 0.0000 0.8837  5 Tb 2.93-2.99
Cl2 0.5000 0.5000 0.5000  4 Pr 2.96, 4 Cl 2.97
Tb2 0.0000 0.5000 0.9096  6 Se 2.89-2.99
Se2 0.5000 0.0000 0.2944  1 Tb 2.89, 4 Pr 3.08
Se3 0.0000 0.5000 0.7056  1 Tb 2.89, 4 Pr 3.08
Se4 0.0000 0.5000 0.1163  5 Tb 2.93-2.99
Pr2 0.0000 0.5000 0.3532  4 Cl 2.96, 4 Se 3.08

Summary:
**E_form (uncorrected)**: -9.47 eV per formula unit
**Volume**: 24.98 A^3/atom


Record 2
Compound: Li3Tb2HfS6
Source: the Alexandria database
Functional: GGA-PBE
Structure: relaxed

abc: 6.6065 6.6065 6.5606
angles: 99.63 99.63 120.04
Closest atoms and distances in Å follow each position.
Element x y z (fractional)
Tb1 0.6674 0.3326 0.0000  6 S 2.74-2.75
S1 0.6010 0.9157 0.7479  1 Hf 2.60, 3 Li 2.63-2.84, 2 Tb 2.74-2.75
S2 0.7666 0.7666 0.2479  1 Hf 2.59, 3 Li 2.60-2.79, 2 Tb 2.74
S3 0.0843 0.3990 0.2521  1 Hf 2.60, 3 Li 2.63-2.84, 2 Tb 2.74-2.75
Tb2 0.3326 0.6674 0.0000  6 S 2.74-2.75
S4 0.3990 0.0843 0.2521  1 Hf 2.60, 3 Li 2.63-2.84, 2 Tb 2.74-2.75
Li1 0.8396 0.1604 0.5000  6 S 2.60-2.84
Li2 0.1604 0.8396 0.5000  6 S 2.60-2.84
S5 0.9157 0.6010 0.7479  1 Hf 2.60, 3 Li 2.63-2.84, 2 Tb 2.74-2.75
S6 0.2334 0.2334 0.7521  1 Hf 2.59, 3 Li 2.60-2.79, 2 Tb 2.74
Li3 0.5000 0.5000 0.5000  6 S 2.63-2.79
Hf1 0.0000 0.0000 0.0000  6 S 2.59-2.60

Summary:
**E_form (uncorrected)**: -20.51 eV per formula unit
**Volume**: 19.47 A^3/atom


Record 3
Compound: GdDy2Ge
Source: the Alexandria database
Functional: GGA-PBE
Structure: relaxed

abc: 4.6394 4.7006 4.7006
angles: 90.00 90.00 90.00
Closest atoms and distances in Å follow each position.
Element x y z (fractional)
Dy1 0.0000 0.5000 0.0000  4 Gd 3.30, 4 Ge 3.30, 4 Dy 3.32
Dy2 0.0000 0.0000 0.5000  4 Gd 3.30, 4 Ge 3.30, 4 Dy 3.32
Gd1 0.5000 0.5000 0.5000  8 Dy 3.30, 4 Ge 3.32
Ge1 0.5000 0.0000 0.0000  8 Dy 3.30, 4 Gd 3.32

Summary:
**Excess energy over the best structure of this formula in the dataset**: 0.0 meV/atom
**Volume**: 25.63 A^3/atom
**Energy of formation from the pure elements**: -0.34 eV/atom


Record 4
Compound: ZrSi2Ag2
Source: the Alexandria database
Functional: GGA-PBE
Structure: relaxed

abc: 7.5529 7.5529 3.0778
angles: 90.00 90.00 90.00
Closest atoms and distances in Å follow each position.
Element x y z (fractional)
Si1 0.3409 0.8409 0.0000  6 Ag 2.65-2.73, 2 Zr 2.84
Si2 0.1591 0.3409 0.0000  6 Ag 2.65-2.73, 2 Zr 2.84
Ag1 0.8607 0.3607 0.5000  6 Si 2.65-2.73
Ag2 0.1393 0.6393 0.5000  6 Si 2.65-2.73
Zr1 0.0000 0.0000 0.0000  4 Si 2.84, 2 Zr 3.08
Ag3 0.3607 0.1393 0.5000  6 Si 2.65-2.73
Ag4 0.6393 0.8607 0.5000  6 Si 2.65-2.73
Zr2 0.5000 0.5000 0.0000  4 Si 2.84, 2 Zr 3.08
Si3 0.8409 0.6591 0.0000  6 Ag 2.65-2.73, 2 Zr 2.84
Si4 0.6591 0.1591 0.0000  6 Ag 2.65-2.73, 2 Zr 2.84

Summary:
**E_form (uncorrected)**: 0.17 eV per formula unit
**Volume**: 17.56 A^3/atom


Record 5
Compound: AcTb2Sb
Source: the Alexandria database
Functional: GGA-PBE
Structure: relaxed

abc: 4.0788 4.0788 10.1767
angles: 78.44 78.44 60.00
Closest atoms and distances in Å follow each position.
Element x y z (fractional)
Ac1 0.5000 0.5000 0.5000  6 Tb 3.85, 6 Ac 4.08
Sb1 0.0000 0.0000 0.0000  6 Tb 3.03
Tb1 0.2694 0.2694 0.1919  3 Sb 3.03
Tb2 0.7306 0.7306 0.8081  3 Sb 3.03

Summary:
**E_form (uncorrected)**: -1.55 eV per formula unit
**Excess energy over the best structure of this formula in the dataset**: 85.2 meV/atom
**Volume**: 35.66 A^3/atom


Record 6
Compound: ZrCu2Pb
Source: the Alexandria database
Functional: GGA-PBE
Structure: relaxed

abc: 5.7781 5.7781 5.7781
angles: 146.72 134.71 57.35
Closest atoms and distances in Å follow each position.
Element x y z (fractional)
Zr1 0.2297 0.7297 0.5000  6 Cu 2.83-3.12, 2 Pb 3.12
Pb1 0.5139 0.5139 0.0000  4 Cu 2.81, 2 Zr 3.12
Cu1 0.7876 0.2876 0.5000  2 Cu 2.47
Cu2 0.9689 0.9689 0.0000  2 Cu 2.47

Summary:
**Volume**: 18.66 A^3/atom
**Energy of formation from the pure elements**: 0.13 eV/atom